PBE MgHg2Se, relaxed; DFT total energy = -1.876 eV/atom; total magnetic moment = 0.00 μB per cell
1.0
2.094 1.209 8.243
-2.094 1.209 8.243
0.000 -2.418 8.243
Mg Hg Se
1 2 1
Direct
0.000 0.000 0.000 Mg
0.234 0.234 0.234 Hg
0.475 0.475 0.475 Hg
0.695 0.695 0.695 Se